1.
KTlGaB2 | PBE | optimized geometry

Lattice parameters (Å, degrees): 4.390 5.770 4.390 90.00 90.00 90.00
Element x y z (fractional)
Tl  0.000  0.500  0.000
B  0.000  0.000  0.500
B  0.500  0.000  0.000
K  0.500  0.500  0.500
Ga  0.000  0.000  0.000

## Properties
* calculated formation energy: 29.0 kcal/mol of atoms

2.
MgIrBr2 | PBE | optimized geometry

Lattice parameters (Å, degrees): 12.306 12.306 12.306 15.95 15.95 15.95
Element x y z (fractional)
Br  0.962  0.962  0.962
Br  0.538  0.538  0.538
Ir  0.750  0.750  0.750
Mg  0.250  0.250  0.250

## Properties
* energy relative to the elements, uncorrected: 0.28 eV/atom

3.
LaSn2Ge4 | PBE | optimized geometry

Lattice parameters (Å, degrees): 5.576 5.576 8.310 70.40 70.40 90.00
Element x y z (fractional)
Ge  0.208  0.208  0.584
Ge  0.792  0.792  0.416
Ge  0.000  0.500  0.000
Ge  0.500  0.000  0.000
Sn  0.391  0.391  0.217
Sn  0.609  0.609  0.783
La  0.000  0.000  0.000

## Properties
* calculated formation energy: 12.8 kcal/mol of atoms

4.
SrCa2Au2 | PBE | optimized geometry

Lattice parameters (Å, degrees): 8.752 8.752 3.581 90.00 90.00 90.00
Element x y z (fractional)
Sr  0.000  0.000  0.000
Sr  0.500  0.500  0.000
Ca  0.368  0.868  0.000
Ca  0.868  0.632  0.000
Ca  0.632  0.132  0.000
Ca  0.132  0.368  0.000
Au  0.165  0.665  0.500
Au  0.665  0.835  0.500
Au  0.835  0.335  0.500
Au  0.335  0.165  0.500

## Properties
* calculated formation energy: -12.2 kcal/mol of atoms

5.
MnAl3C | PBE | optimized geometry

Lattice parameters (Å, degrees): 4.538 4.538 4.538 90.00 90.00 90.00
Element x y z (fractional)
C  0.500  0.500  0.500
Mn  0.000  0.000  0.000
Al  0.000  0.500  0.000
Al  0.000  0.000  0.500
Al  0.500  0.000  0.000

## Properties
* calculated formation energy: 35.4 kcal/mol of atoms

6.
Y2Ag2Bi | PBE | optimized geometry

Lattice parameters (Å, degrees): 3.939 3.939 8.952 77.29 77.29 90.00
Element x y z (fractional)
Y  0.394  0.394  0.212
Y  0.606  0.606  0.788
Bi  0.000  0.000  0.000
Ag  0.750  0.250  0.500
Ag  0.250  0.750  0.500

## Properties
* calculated formation energy: -6.0 kcal/mol of atoms

7.
PrIn2Br5 | PBE | optimized geometry

Lattice parameters (Å, degrees): 8.670 9.235 13.550 90.00 90.00 90.00
Element x y z (fractional)
Pr  0.421  0.250  0.505
Pr  0.579  0.750  0.495
Pr  0.921  0.750  0.995
Pr  0.079  0.250  0.005
In  0.450  0.501  0.826
In  0.550  0.499  0.174
In  0.950  0.499  0.674
In  0.550  0.001  0.174
In  0.050  0.501  0.326
In  0.450  0.999  0.826
In  0.050  0.999  0.326
In  0.950  0.001  0.674
Br  0.074  0.250  0.506
Br  0.926  0.750  0.494
Br  0.574  0.750  0.994
Br  0.426  0.250  0.006
Br  0.333  0.954  0.577
Br  0.667  0.046  0.423
Br  0.833  0.046  0.923
Br  0.667  0.454  0.423
Br  0.167  0.954  0.077
Br  0.333  0.546  0.577
Br  0.167  0.546  0.077
Br  0.833  0.454  0.923
Br  0.162  0.250  0.792
Br  0.838  0.750  0.208
Br  0.662  0.750  0.708
Br  0.338  0.250  0.292
Br  0.617  0.250  0.685
Br  0.383  0.750  0.315
Br  0.117  0.750  0.815
Br  0.883  0.250  0.185

## Properties
* energy relative to the elements, uncorrected: -1.29 eV/atom

8.
SrLa2Te4 | PBE | optimized geometry

Lattice parameters (Å, degrees): 9.403 9.288 9.288 60.52 59.59 59.59
Element x y z (fractional)
Sr  0.500  0.500  0.000
Sr  0.000  0.500  0.000
La  0.000  0.000  0.000
La  0.000  0.000  0.500
La  0.000  0.500  0.500
La  0.500  0.000  0.500
Te  0.251  0.241  0.257
Te  0.749  0.243  0.259
Te  0.251  0.757  0.741
Te  0.749  0.759  0.743
Te  0.758  0.755  0.255
Te  0.768  0.245  0.745
Te  0.232  0.755  0.255
Te  0.242  0.245  0.745

## Properties
* energy relative to the elements, uncorrected: -1.60 eV/atom